{
  "formula": "Ce4SnSeS2",
  "functional": "PBE",
  "state": "optimized geometry",
  "formation_energy_uncorrected_ev_per_atom": -1.574,
  "total_magnetization_mub_per_fu": 3.0,
  "e_tot_ev_per_atom": -6.5083,
  "cell": [[7.246, 0.000, 0.000], [0.000, 4.176, 0.000], [-2.409, 0.000, 6.882]],
  "species": ["Ce", "Ce", "Ce", "Ce", "Sn", "Se", "S", "S"],
  "fractional_positions": [[0.233, 0.000, 0.224], [0.249, 0.500, 0.770], [0.751, 0.500, 0.230], [0.767, 0.000, 0.776], [0.500, 0.500, 0.500], [0.000, 0.000, 0.500], [0.000, 0.500, 0.000], [0.500, 0.000, 0.000]]
}